(1)
An optimized crystal structure of HgBi2Cl. Source: the Alexandria database, functional PBE.

Geometry as CIF:
```
data_HgBi2Cl
_chemical_formula_sum 'Hg4 Bi8 Cl4'
_space_group_name_H-M_alt 'I -4 2 d'
_space_group_IT_number 122
_space_group_name_Hall 'I -4 2bw'
_cell_length_a 4.729
_cell_length_b 4.729
_cell_length_c 22.329
_cell_angle_alpha 90.00
_cell_angle_beta 90.00
_cell_angle_gamma 90.00
loop_
_atom_site_label
_atom_site_type_symbol
_atom_site_fract_x
_atom_site_fract_y
_atom_site_fract_z
Hg1 Hg 0.000 0.000 0.000
Bi1 Bi 0.210 0.250 0.125
Cl1 Cl 0.000 0.000 0.500
```

Properties
ΔE_f (raw) in eV/atom: -0.126
E above lowest polymorph in meV per atom: 0
Theoretical density in Mg/m³: 8.7

(2)
An optimized crystal structure of HgBiCl3. Source: the Alexandria database, functional PBE.

Geometry as CIF:
```
data_HgBiCl3
_chemical_formula_sum 'Hg2 Bi2 Cl6'
_space_group_name_H-M_alt 'A m m 2'
_space_group_IT_number 38
_space_group_name_Hall 'A 2 -2'
_cell_length_a 4.063
_cell_length_b 7.688
_cell_length_c 19.308
_cell_angle_alpha 90.00
_cell_angle_beta 90.00
_cell_angle_gamma 90.00
loop_
_atom_site_label
_atom_site_type_symbol
_atom_site_fract_x
_atom_site_fract_y
_atom_site_fract_z
Hg1 Hg 0.000 0.000 0.000
Bi1 Bi 0.500 0.000 0.699
Cl1 Cl 0.000 0.242 0.687
Cl2 Cl 0.500 0.000 0.826
```

Properties
ΔE_f (raw) in eV/atom: -0.711
E above lowest polymorph in meV per atom: 51
Theoretical density in Mg/m³: 2.8

(3)
An optimized crystal structure of HgBiCl. Source: the Alexandria database, functional PBE.

Geometry as CIF:
```
data_HgBiCl
_chemical_formula_sum 'Hg2 Bi2 Cl2'
_space_group_name_H-M_alt 'P 1'
_space_group_IT_number 1
_space_group_name_Hall 'P 1'
_cell_length_a 4.898
_cell_length_b 6.610
_cell_length_c 6.855
_cell_angle_alpha 104.25
_cell_angle_beta 93.33
_cell_angle_gamma 106.29
loop_
_atom_site_label
_atom_site_type_symbol
_atom_site_fract_x
_atom_site_fract_y
_atom_site_fract_z
Hg1 Hg 0.000 0.000 0.000
Hg2 Hg 0.001 0.335 0.475
Bi1 Bi 0.282 0.727 0.160
Bi2 Bi 0.723 0.348 0.105
Cl1 Cl 0.157 0.939 0.517
Cl2 Cl 0.436 0.530 0.776
```

Properties
ΔE_f (raw) in eV/atom: -0.322
E above lowest polymorph in meV per atom: 36
Theoretical density in Mg/m³: 7.2

(4)
An optimized crystal structure of HgBiCl3. Source: the Alexandria database, functional PBE.

Geometry as CIF:
```
data_HgBiCl3
_chemical_formula_sum 'Hg4 Bi4 Cl12'
_space_group_name_H-M_alt 'C 1 2/m 1'
_space_group_IT_number 12
_space_group_name_Hall '-C 2y'
_cell_length_a 20.282
_cell_length_b 3.967
_cell_length_c 9.043
_cell_angle_alpha 90.00
_cell_angle_beta 111.34
_cell_angle_gamma 90.00
loop_
_atom_site_label
_atom_site_type_symbol
_atom_site_fract_x
_atom_site_fract_y
_atom_site_fract_z
Hg1 Hg 0.215 0.000 0.062
Bi1 Bi 0.050 0.500 0.393
Cl1 Cl 0.029 0.000 0.803
Cl2 Cl 0.136 0.000 0.575
Cl3 Cl 0.160 0.500 0.174
```

Properties
ΔE_f (raw) in eV/atom: -0.638
E above lowest polymorph in meV per atom: 124
Theoretical density in Mg/m³: 5.1

(5)
An optimized crystal structure of Hg4BiI2Cl. Source: the Alexandria database, functional PBE.

Geometry as CIF:
```
data_Hg4BiI2Cl
_chemical_formula_sum 'Hg16 Bi4 I8 Cl4'
_space_group_name_H-M_alt 'C 1 2/c 1'
_space_group_IT_number 15
_space_group_name_Hall '-C 2yc'
_cell_length_a 12.290
_cell_length_b 14.647
_cell_length_c 8.489
_cell_angle_alpha 90.00
_cell_angle_beta 133.65
_cell_angle_gamma 90.00
loop_
_atom_site_label
_atom_site_type_symbol
_atom_site_fract_x
_atom_site_fract_y
_atom_site_fract_z
Hg1 Hg 0.000 0.203 0.027
Hg2 Hg 0.245 0.015 0.995
Bi1 Bi 0.000 0.000 0.000
I1 I 0.000 0.500 0.000
I2 I 0.250 0.250 0.000
Cl1 Cl 0.250 0.250 0.500
```

Properties
ΔE_f (raw) in eV/atom: -0.152
Theoretical density in Mg/m³: 7.8

(6)
An optimized crystal structure of Hg2BiICl. Source: the Alexandria database, functional PBE.

Geometry as CIF:
```
data_Hg2BiICl
_chemical_formula_sum 'Hg2 Bi1 I1 Cl1'
_space_group_name_H-M_alt 'P 4/m m m'
_space_group_IT_number 123
_space_group_name_Hall '-P 4 2'
_cell_length_a 5.926
_cell_length_b 5.926
_cell_length_c 5.317
_cell_angle_alpha 90.00
_cell_angle_beta 90.00
_cell_angle_gamma 90.00
loop_
_atom_site_label
_atom_site_type_symbol
_atom_site_fract_x
_atom_site_fract_y
_atom_site_fract_z
Hg1 Hg 0.000 0.500 0.000
Bi1 Bi 0.000 0.000 0.000
I1 I 0.500 0.500 0.500
Cl1 Cl 0.000 0.000 0.500
```

Properties
ΔE_f (raw) in eV/atom: -0.195
Theoretical density in Mg/m³: 6.9

(7)
An optimized crystal structure of HgBiI2Cl. Source: the Alexandria database, functional PBE.

Geometry as CIF:
```
data_HgBiI2Cl
_chemical_formula_sum 'Hg1 Bi1 I2 Cl1'
_space_group_name_H-M_alt 'P 4/m m m'
_space_group_IT_number 123
_space_group_name_Hall '-P 4 2'
_cell_length_a 6.168
_cell_length_b 6.168
_cell_length_c 5.476
_cell_angle_alpha 90.00
_cell_angle_beta 90.00
_cell_angle_gamma 90.00
loop_
_atom_site_label
_atom_site_type_symbol
_atom_site_fract_x
_atom_site_fract_y
_atom_site_fract_z
Hg1 Hg 0.000 0.000 0.000
Bi1 Bi 0.500 0.500 0.500
I1 I 0.000 0.500 0.500
Cl1 Cl 0.500 0.500 0.000
```

Properties
ΔE_f (raw) in eV/atom: -0.355
Theoretical density in Mg/m³: 5.6

(8)
An optimized crystal structure of InHgBiCl. Source: the Alexandria database, functional PBE.

Geometry as CIF:
```
data_InHgBiCl
_chemical_formula_sum 'In4 Hg4 Bi4 Cl4'
_space_group_name_H-M_alt 'F -4 3 m'
_space_group_IT_number 216
_space_group_name_Hall 'F -4 2 3'
_cell_length_a 7.486
_cell_length_b 7.486
_cell_length_c 7.486
_cell_angle_alpha 90.00
_cell_angle_beta 90.00
_cell_angle_gamma 90.00
loop_
_atom_site_label
_atom_site_type_symbol
_atom_site_fract_x
_atom_site_fract_y
_atom_site_fract_z
In1 In 0.000 0.000 0.000
Hg1 Hg 0.250 0.250 0.750
Bi1 Bi 0.000 0.000 0.500
Cl1 Cl 0.250 0.250 0.250
```

Properties
ΔE_f (raw) in eV/atom: -0.111
Theoretical density in Mg/m³: 8.9

(9)
An optimized crystal structure of K2HgBiCl6. Source: the Alexandria database, functional PBE.

Geometry as CIF:
```
data_K2HgBiCl6
_chemical_formula_sum 'K2 Hg1 Bi1 Cl6'
_space_group_name_H-M_alt 'P 1'
_space_group_IT_number 1
_space_group_name_Hall 'P 1'
_cell_length_a 7.655
_cell_length_b 7.660
_cell_length_c 7.934
_cell_angle_alpha 61.17
_cell_angle_beta 61.23
_cell_angle_gamma 60.03
loop_
_atom_site_label
_atom_site_type_symbol
_atom_site_fract_x
_atom_site_fract_y
_atom_site_fract_z
K1 K 0.000 0.000 0.000
K2 K 0.493 0.494 0.519
Hg1 Hg 0.210 0.211 0.368
Bi1 Bi 0.706 0.706 0.883
Cl1 Cl 0.041 0.846 0.658
Cl2 Cl 0.366 0.570 0.139
Cl3 Cl 0.454 0.041 0.658
Cl4 Cl 0.570 0.926 0.139
Cl5 Cl 0.846 0.454 0.658
Cl6 Cl 0.926 0.366 0.139
```

Properties
ΔE_f (raw) in eV/atom: -1.236
Theoretical density in Mg/m³: 3.5

(10)
An optimized crystal structure of KHg2BiCl8. Source: the Alexandria database, functional PBE.

Geometry as CIF:
```
data_KHg2BiCl8
_chemical_formula_sum 'K1 Hg2 Bi1 Cl8'
_space_group_name_H-M_alt 'P -1'
_space_group_IT_number 2
_space_group_name_Hall '-P 1'
_cell_length_a 6.699
_cell_length_b 6.844
_cell_length_c 8.949
_cell_angle_alpha 82.17
_cell_angle_beta 75.61
_cell_angle_gamma 88.09
loop_
_atom_site_label
_atom_site_type_symbol
_atom_site_fract_x
_atom_site_fract_y
_atom_site_fract_z
K1 K 0.000 0.000 0.000
Hg1 Hg 0.470 0.480 0.234
Bi1 Bi 0.000 0.000 0.500
Cl1 Cl 0.215 0.823 0.698
Cl2 Cl 0.241 0.343 0.475
Cl3 Cl 0.258 0.860 0.252
Cl4 Cl 0.267 0.390 0.988
```

Properties
ΔE_f (raw) in eV/atom: -0.935
Theoretical density in Mg/m³: 3.9

(11)
An optimized crystal structure of LiHgBiCl6. Source: the Alexandria database, functional PBE.

Geometry as CIF:
```
data_LiHgBiCl6
_chemical_formula_sum 'Li2 Hg2 Bi2 Cl12'
_space_group_name_H-M_alt 'P -3 1 c'
_space_group_IT_number 163
_space_group_name_Hall '-P 3 2c'
_cell_length_a 6.8180
_cell_length_b 6.8180
_cell_length_c 12.0019
_cell_angle_alpha 90.00
_cell_angle_beta 90.00
_cell_angle_gamma 120.00
loop_
_atom_site_label
_atom_site_type_symbol
_atom_site_fract_x
_atom_site_fract_y
_atom_site_fract_z
Li1 Li 0.0000 0.0000 0.0000
Hg1 Hg 0.3333 0.6667 0.2500
Bi1 Bi 0.3333 0.6667 0.7500
Cl1 Cl 0.0020 0.3352 0.1230
```

Properties
ΔE_f (raw) in eV/atom: -0.993
Theoretical density in Mg/m³: 4.3

(12)
An optimized crystal structure of MnHgBiCl2. Source: the Alexandria database, functional PBE.

Geometry as CIF:
```
data_MnHgBiCl2
_chemical_formula_sum 'Mn1 Hg1 Bi1 Cl2'
_space_group_name_H-M_alt 'P 4/m m m'
_space_group_IT_number 123
_space_group_name_Hall '-P 4 2'
_cell_length_a 4.677
_cell_length_b 4.677
_cell_length_c 6.039
_cell_angle_alpha 90.00
_cell_angle_beta 90.00
_cell_angle_gamma 90.00
loop_
_atom_site_label
_atom_site_type_symbol
_atom_site_fract_x
_atom_site_fract_y
_atom_site_fract_z
Mn1 Mn 0.000 0.000 0.000
Hg1 Hg 0.500 0.500 0.500
Bi1 Bi 0.000 0.000 0.500
Cl1 Cl 0.000 0.500 0.000
```

Properties
ΔE_f (raw) in eV/atom: -0.358
Theoretical density in Mg/m³: 6.7